(1)
# LuZnPb2, relaxed, DFT PBE
# DFT formation energy	0.169	eV/atom
# V	112.8	Å³ per cell
# E_tot	-3.134	eV/atom
# energy above the lowest structure with this stoichiometry	0.3382	eV per atom
data_LuZnPb2
_space_group_name_H-M_alt 'P 1'
_space_group_IT_number 1
_cell_length_a 10.906
_cell_length_b 10.906
_cell_length_c 10.906
_cell_angle_alpha 18.39
_cell_angle_beta 18.39
_cell_angle_gamma 18.39
loop_
_space_group_symop_operation_xyz
'x,y,z'
loop_
_atom_site_label
_atom_site_fract_x
_atom_site_fract_y
_atom_site_fract_z
Lu1 0.000 0.000 0.000
Zn1 0.500 0.500 0.500
Pb1 0.096 0.096 0.096
Pb2 0.904 0.904 0.904

---

(2)
# ThSc2S, relaxed, DFT PBE
# uncorrected formation energy	-0.890	eV per atom
# V	94.5	Å³ per cell
# E_tot	-6.943	eV/atom
# energy above the lowest structure with this stoichiometry	0.0000	eV per atom
data_ThSc2S
_space_group_name_H-M_alt 'P 1'
_space_group_IT_number 1
_cell_length_a 9.096
_cell_length_b 9.096
_cell_length_c 9.096
_cell_angle_alpha 22.24
_cell_angle_beta 22.24
_cell_angle_gamma 22.24
loop_
_space_group_symop_operation_xyz
'x,y,z'
loop_
_atom_site_label
_atom_site_fract_x
_atom_site_fract_y
_atom_site_fract_z
Th1 0.000 0.000 0.000
Sc1 0.225 0.225 0.225
Sc2 0.441 0.441 0.441
S1 0.833 0.833 0.833